Density functional theory data (PBE+U) for a geometry-optimized SbMoN2F structure.

The structure in POSCAR format:
```
SbMoN2F
1.0
-1.103 -2.424 3.161
-1.633 -2.717 -2.653
3.599 -1.937 -0.231
Sb N F Mo
1 2 1 1
Cartesian
0.432 -3.539 0.139 Sb
-0.551 -1.212 1.581 N
-0.816 -1.359 -1.327 N
1.799 -0.969 -0.115 F
0.000 0.000 0.000 Mo
```

Properties
- Volume: 13.99 Å³ per atom
- E above lowest polymorph: 0.000 eV per formula unit
- Magnetic moment: 1.8 μB/cell
- E_tot: -29.01 eV for the cell shown